Run one
Mg2MnF: relaxed, PBE with a Hubbard U.

As for the crystal system: tetragonal. Its size of the total moment is 4.248 μB per formula unit.

The space group is I-42d (No. 122) and the conventional cell measures 6.5158, 6.5158 and 7.2950 Å, with angles of 90.00, 90.00 and 90.00 degrees. The distinct sites, in fractional coordinates, are Mg at (0.1496, 0.2500, 0.1250), Mn at (0.0000, 0.0000, 0.5000) and F at (0.0000, 0.0000, 0.0000).

---

Run two
Mg2MnF: relaxed, PBE with a Hubbard U.

As for the crystal system: cubic. Its size of the total moment is 4.739 μB per formula unit.

The space group is Fm-3m (No. 225) and the conventional cell measures 6.8571, 6.8571 and 6.8571 Å, with angles of 90.00, 90.00 and 90.00 degrees. The distinct sites, in fractional coordinates, are Mg at (0.2500, 0.2500, 0.2500), Mn at (0.0000, 0.0000, 0.0000) and F at (0.0000, 0.0000, 0.5000).

---

The calculated energies rank the structures as follows, beginning with the most stable: run one, run two.

---

Run one
MgMnF5: relaxed, PBE with a Hubbard U.

As for the crystal system: triclinic. Its size of the total moment is 4.000 μB per formula unit.

The space group is P-1 (No. 2) and the conventional cell measures 5.4115, 5.4819 and 7.9796 Å, with angles of 104.95, 95.77 and 116.87 degrees. The distinct sites, in fractional coordinates, are Mg at (0.0650, 0.2113, 0.2589), Mn at (0.5000, 0.0000, 0.0000), Mn at (0.5000, 0.0000, 0.5000), F at (0.1365, 0.6715, 0.9032), F at (0.1829, 0.9948, 0.3769), F at (0.2839, 0.5912, 0.4411), F at (0.3157, 0.2064, 0.0979) and F at (0.3419, 0.0305, 0.7405).

---

Run two
MgMnF5: relaxed, PBE with a Hubbard U.

As for the crystal system: monoclinic. Its size of the total moment is 4.000 μB per formula unit.

The space group is C2/c (No. 15) and the conventional cell measures 8.5355, 6.1968 and 7.4313 Å, with angles of 90.00, 116.00 and 90.00 degrees. The distinct sites, in fractional coordinates, are Mg at (0.0000, 0.0000, 0.0000), Mn at (0.0000, 0.4606, 0.2500), F at (0.0000, 0.1310, 0.2500), F at (0.0182, 0.3068, 0.9444) and F at (0.2392, 0.4560, 0.3572).

---

Run three
MgMnF5: relaxed, PBE with a Hubbard U.

As for the crystal system: triclinic. Its size of the total moment is 4.000 μB per formula unit.

The space group is P-1 (No. 2) and the conventional cell measures 5.1914, 5.4153 and 7.4237 Å, with angles of 106.39, 97.06 and 109.43 degrees. The distinct sites, in fractional coordinates, are Mg at (0.0311, 0.2464, 0.2220), Mn at (0.5000, 0.0000, 0.5000), Mn at (0.5000, 0.5000, 0.0000), F at (0.1782, 0.8135, 0.5783), F at (0.2033, 0.1522, 0.9625), F at (0.2375, 0.6121, 0.8869), F at (0.2902, 0.1137, 0.3429) and F at (0.3619, 0.6010, 0.2625).

---

The calculated energies rank the structures as follows, beginning with the most stable: run three, run two, run one.